(1)
Density functional theory data (PBE) for a relaxed structure of CsBaRe3.

Geometry as POSCAR:
```
CsBaRe3
1.0
-2.106 3.047 3.549
-3.763 -3.415 0.699
2.778 -2.316 3.637
Re Cs Ba
3 1 1
Direct
0.000 0.000 0.500
0.500 0.000 0.000
0.000 0.500 0.000
0.000 0.000 0.000
0.500 0.500 0.500
```

Properties
formation energy: 3.437 eV per atom
VASP energy: -4.59 eV/atom
space group: No. 221


(2)
Density functional theory data (PBE) for a relaxed structure of Nd3TmTh.

Geometry as POSCAR:
```
Nd3TmTh
1.0
7.556 -0.468 -0.336
3.139 6.889 -0.336
3.139 1.885 6.635
Th Nd Tm
2 6 2
Direct
0.585 0.585 0.585
0.415 0.415 0.415
0.527 0.742 0.009
0.742 0.009 0.527
0.009 0.527 0.742
0.258 0.991 0.473
0.473 0.258 0.991
0.991 0.473 0.258
0.912 0.912 0.912
0.088 0.088 0.088
```

Properties
formation energy: 0.504 eV per atom
VASP energy: -4.74 eV/atom
space group: No. 148
distance to the lowest polymorph of the same formula: 0.449 eV per atom


(3)
Density functional theory data (PBE) for a relaxed structure of Sm5HgRu2.

Geometry as POSCAR:
```
Sm5HgRu2
1.0
7.124 0.000 -3.363
-1.587 6.945 -3.363
-0.196 -0.246 8.812
Sm Hg Ru
10 2 4
Direct
0.207 0.027 0.733
0.473 0.293 0.267
0.293 0.793 0.267
0.000 0.000 0.000
0.500 0.500 0.000
0.027 0.527 0.733
0.707 0.207 0.733
0.527 0.707 0.733
0.793 0.973 0.267
0.973 0.473 0.267
0.750 0.750 0.500
0.250 0.250 0.500
0.359 0.859 0.000
0.641 0.141 0.000
0.141 0.359 0.000
0.859 0.641 0.000
```

Properties
formation energy: -0.343 eV per atom
VASP energy: -5.65 eV/atom
space group: No. 140